Density functional theory data (PBE-GGA) for an optimized crystal structure of CaMg2Ta.

Computed properties:
* ΔH_f (0 K): 2.172 eV per formula unit
* uncorrected energy: -3.718 eV/atom

```
data_CaMg2Ta
_cell_length_a 6.419
_cell_length_b 6.419
_cell_length_c 6.419
_cell_angle_alpha 151.52
_cell_angle_beta 129.68
_cell_angle_gamma 58.83
_space_group_name_H-M_alt 'P 1'
_space_group_IT_number 1
_space_group_name_Hall 'P 1'
loop_
_atom_site_label
_atom_site_fract_x
_atom_site_fract_y
_atom_site_fract_z
Ca1 0.750 0.250 0.500
Mg1 0.024 0.024 0.000
Mg2 0.476 0.476 0.000
Ta1 0.250 0.750 0.500
```